(1)
This record from Alexandria via LeMat-Bulk describes a geometry-optimized Al2TlCd structure. The functional is PBE.

The space group is P2/m (No. 10) and the conventional cell measures 3.0675, 5.4730 and 5.4542 Å, with angles of 90.00, 95.20 and 90.00 degrees. Symmetry generates all atoms from Al at (0.1730, 0.0000, 0.2627), Tl at (0.5000, 0.5000, 0.5000) and Cd at (0.0000, 0.5000, 0.0000).

The spin magnetization is 0.0 μB/cell. The theoretical density is 6.75 g/cm3. The electronic total energy is -2.4272 eV per atom.

=====

(2)
This record from Alexandria via LeMat-Bulk describes a geometry-optimized Al2TlCd structure. The functional is PBE.

The space group is I4/mmm (No. 139) and the conventional cell measures 4.3016, 4.3016 and 9.6259 Å, with angles of 90.00, 90.00 and 90.00 degrees. Symmetry generates all atoms from Al at (0.0000, 0.5000, 0.2500), Tl at (0.0000, 0.0000, 0.0000) and Cd at (0.0000, 0.0000, 0.5000).

The spin magnetization is 0.0 μB/cell. The theoretical density is 6.91 g/cm3. The electronic total energy is -2.4211 eV per atom.